Entry 1:
Compound: Li2Tl3AgF6
Source: the Alexandria database
Functional: PBE-GGA
Structure: optimized geometry

Cell and atoms, written as CIF:
```
data_Li2Tl3AgF6
_chemical_formula_sum 'Li2 Tl3 Ag1 F6'
_cell_length_a 6.4381
_cell_length_b 6.4381
_cell_length_c 6.5828
_cell_angle_alpha 90.00
_cell_angle_beta 90.00
_cell_angle_gamma 120.00
_symmetry_space_group_name_H-M 'P -3 m 1'
_symmetry_Int_Tables_number 164
_symmetry_space_group_name_Hall '-P 3 2"'
loop_
_atom_site_label
_atom_site_type_symbol
_atom_site_fract_x
_atom_site_fract_y
_atom_site_fract_z
Li1 Li 0.3333 0.6667 0.1854
Tl1 Tl 0.0000 0.0000 0.0000
Tl2 Tl 0.3333 0.6667 0.6181
Ag1 Ag 0.0000 0.0000 0.5000
F1 F 0.1823 0.3647 0.2840
```

Output
magnetic moment	0.011	μB/atom
VASP energy	-3.99	eV per atom
uncorrected formation energy	-1.905	eV per atom


Entry 2:
Compound: Li2Tl2AgF7
Source: the Alexandria database
Functional: PBE-GGA
Structure: optimized geometry

Cell and atoms, written as CIF:
```
data_Li2Tl2AgF7
_chemical_formula_sum 'Li4 Tl4 Ag2 F14'
_cell_length_a 5.421
_cell_length_b 5.419
_cell_length_c 11.199
_cell_angle_alpha 90.00
_cell_angle_beta 104.00
_cell_angle_gamma 90.00
_symmetry_space_group_name_H-M 'C 1 2/m 1'
_symmetry_Int_Tables_number 12
_symmetry_space_group_name_Hall '-C 2y'
loop_
_atom_site_label
_atom_site_type_symbol
_atom_site_fract_x
_atom_site_fract_y
_atom_site_fract_z
Li1 Li 0.087 0.000 0.172
Tl1 Tl 0.179 0.500 0.355
Ag1 Ag 0.000 0.500 0.000
F1 F 0.000 0.000 0.000
F2 F 0.142 0.250 0.786
F3 F 0.212 0.000 0.425
```

Output
magnetic moment	0.000	μB/atom
VASP energy	-3.99	eV per atom
uncorrected formation energy	-1.950	eV per atom


Entry 3:
Compound: LiTlAgF3
Source: the Alexandria database
Functional: PBE-GGA
Structure: optimized geometry

Cell and atoms, written as CIF:
```
data_LiTlAgF3
_chemical_formula_sum 'Li2 Tl2 Ag2 F6'
_cell_length_a 6.311
_cell_length_b 3.422
_cell_length_c 8.268
_cell_angle_alpha 90.00
_cell_angle_beta 92.08
_cell_angle_gamma 90.00
_symmetry_space_group_name_H-M 'P 1 21/m 1'
_symmetry_Int_Tables_number 11
_symmetry_space_group_name_Hall '-P 2yb'
loop_
_atom_site_label
_atom_site_type_symbol
_atom_site_fract_x
_atom_site_fract_y
_atom_site_fract_z
Li1 Li 0.113 0.250 0.378
Tl1 Tl 0.379 0.750 0.704
Ag1 Ag 0.318 0.750 0.037
F1 F 0.107 0.250 0.614
F2 F 0.130 0.250 0.149
F3 F 0.351 0.750 0.414
```

Output
magnetic moment	0.000	μB/atom
VASP energy	-3.96	eV per atom
uncorrected formation energy	-1.838	eV per atom